1.
{"formula": "BeTe2Ru", "functional": "PBE", "state": "optimized geometry", "raw_formation_energy_mev_per_atom": 264, "lattice_angstrom": [[3.8098, -0.0015, 0.0001], [1.8868, 3.3098, 0.0001], [1.9133, 1.1111, 6.2900]], "species": ["Be", "Ru", "Te", "Te"], "fractional_positions": [[0.2500, 0.2500, 0.2500], [0.7500, 0.7500, 0.7500], [0.4996, 0.4996, 0.4997], [0.0004, 0.0004, 0.0003]]}


2.
{"formula": "BeTeRu3", "functional": "PBE", "state": "optimized geometry", "e_above_lowest_polymorph_mev_per_atom": 0, "raw_formation_energy_mev_per_atom": 447, "lattice_angstrom": [[-1.7216, 3.8029, -0.3334], [-0.3876, 0.1897, 4.1654], [3.7977, 1.7433, 0.2740]], "species": ["Be", "Ru", "Ru", "Ru", "Te"], "fractional_positions": [[0.0000, 0.0000, 0.0000], [0.0000, 0.5000, 0.0000], [0.0000, 0.0000, 0.5000], [0.5000, 0.0000, 0.0000], [0.5000, 0.5000, 0.5000]]}


3.
{"formula": "BeTe2Ru", "functional": "PBE", "state": "optimized geometry", "raw_formation_energy_mev_per_atom": 255, "lattice_angstrom": [[2.3755, 0.0000, 7.1301], [-1.1878, 2.0573, 7.1301], [-1.1878, -2.0573, 7.1301]], "species": ["Ru", "Be", "Te", "Te"], "fractional_positions": [[0.5000, 0.5000, 0.5000], [0.0000, 0.0000, 0.0000], [0.8928, 0.8928, 0.8928], [0.1072, 0.1072, 0.1072]]}


4.
{"formula": "BeTe2Ru", "functional": "PBE", "state": "optimized geometry", "raw_formation_energy_mev_per_atom": 90, "lattice_angstrom": [[-4.3232, -0.9125, -0.8822], [1.2168, -3.5967, -2.2430], [0.2583, -3.6724, 2.5329]], "species": ["Te", "Te", "Ru", "Be"], "fractional_positions": [[0.5000, 0.3454, 0.3456], [0.0000, 0.9001, 0.9006], [0.5000, 0.6961, 0.7023], [0.0000, 0.5584, 0.5516]]}